ThTl3Cl6: optimized geometry, PBE.

Cell lengths 7.0075, 7.5717, 13.8145 Å; angles 92.56, 90.00, 90.00 degrees
Closest atoms and distances in Å follow each position.
Fractional positions:
1 Th 0.5000 0.5000 0.5000  6 Cl 2.67-2.72
2 Th 0.0000 0.0000 0.0000  6 Cl 2.67-2.72
3 Tl 0.1744 0.4777 0.2007  6 Cl 3.27-3.65, 1 Tl 3.60
4 Tl 0.5000 0.5000 0.0000  4 Cl 3.27-3.52, 2 Tl 3.60
5 Tl 0.8256 0.5223 0.7993  6 Cl 3.27-3.65, 1 Tl 3.60
6 Tl 0.3256 0.9777 0.7007  6 Cl 3.27-3.65, 1 Tl 3.60
7 Tl 0.0000 0.0000 0.5000  4 Cl 3.27-3.52, 2 Tl 3.60
8 Tl 0.6744 0.0223 0.2993  6 Cl 3.27-3.65, 1 Tl 3.60
9 Cl 0.8138 0.2550 0.1066  1 Th 2.71
10 Cl 0.7941 0.4440 0.3796  1 Th 2.67
11 Cl 0.1467 0.2420 0.8808  1 Th 2.72
12 Cl 0.8533 0.7580 0.1192  1 Th 2.72
13 Cl 0.2059 0.5560 0.6204  1 Th 2.67
14 Cl 0.1862 0.7450 0.8934  1 Th 2.71
15 Cl 0.6862 0.7550 0.6066  1 Th 2.71
16 Cl 0.7059 0.9440 0.8796  1 Th 2.67
17 Cl 0.3533 0.7420 0.3808  1 Th 2.72
18 Cl 0.6467 0.2580 0.6192  1 Th 2.72
19 Cl 0.2941 0.0560 0.1204  1 Th 2.67
20 Cl 0.3138 0.2450 0.3934  1 Th 2.71

Results
DFT total energy: -79.9 eV per cell
formation energy from raw total energies: -1.434 eV per atom